! GGA-PBE ErMgNiPd, relaxed; values from VASP
&SYSTEM
  ibrav = 0, nat = 4, ntyp = 4
/
ATOMIC_SPECIES
Er 167.26 Er.upf
Mg 24.30 Mg.upf
Ni 58.69 Ni.upf
Pd 106.42 Pd.upf
CELL_PARAMETERS angstrom
0.000 3.296 3.296
3.296 0.000 3.296
3.296 3.296 0.000
ATOMIC_POSITIONS crystal
Er 0.000 0.000 0.000
Mg 0.500 0.500 0.500
Ni 0.750 0.750 0.750
Pd 0.250 0.250 0.250
! Energy of formation (eV per atom): -0.553
! Calculated total energy (eV/cell): -19.34
! Total magnetic moment (μB/f.u.): 0.00
! DOS at the Fermi energy (states/eV/atom): 0.52